1.
{
  "formula": "Ag2SBr",
  "functional": "PBE",
  "state": "relaxed",
  "formation_energy_uncorrected_kj_per_mol_fu": 104,
  "e_above_lowest_polymorph_mev_per_atom": 343,
  "lattice": [[0.0000, 3.4371, 3.4371], [3.4371, 0.0000, 3.4371], [3.4371, 3.4371, 0.0000]],
  "species": ["Ag", "Ag", "S", "Br"],
  "fractional_positions": [[0.2500, 0.2500, 0.2500], [0.7500, 0.7500, 0.7500], [0.0000, 0.0000, 0.0000], [0.5000, 0.5000, 0.5000]]
}


2.
{
  "formula": "HoEr3S",
  "functional": "PBE",
  "state": "relaxed",
  "formation_energy_uncorrected_kj_per_mol_fu": -300,
  "lattice": [[5.2438, 0.0000, 0.0000], [0.0000, 5.2438, 0.0000], [0.0000, 0.0000, 5.2438]],
  "species": ["Ho", "Er", "Er", "Er", "S"],
  "fractional_positions": [[0.0000, 0.0000, 0.0000], [0.0000, 0.5000, 0.5000], [0.5000, 0.0000, 0.5000], [0.5000, 0.5000, 0.0000], [0.5000, 0.5000, 0.5000]]
}


3.
{
  "formula": "NaAgSbPd2",
  "functional": "PBE",
  "state": "relaxed",
  "formation_energy_uncorrected_kj_per_mol_fu": 325,
  "lattice": [[4.7508, 0.0000, 0.0000], [0.0000, 4.7508, 0.0000], [0.0000, 0.0000, 4.7157]],
  "species": ["Na", "Ag", "Sb", "Pd", "Pd"],
  "fractional_positions": [[0.0000, 0.0000, 0.0000], [0.0000, 0.0000, 0.5000], [0.5000, 0.5000, 0.5000], [0.0000, 0.5000, 0.0000], [0.5000, 0.0000, 0.0000]]
}


4.
{
  "formula": "Cs3LiCu2F9",
  "functional": "PBE",
  "state": "relaxed",
  "formation_energy_uncorrected_kj_per_mol_fu": -3140,
  "lattice": [[6.0640, 0.0000, 0.0000], [-3.0320, 5.2516, 0.0000], [0.0000, 0.0000, 7.4393]],
  "species": ["Cs", "Cs", "Cs", "Li", "Cu", "Cu", "F", "F", "F", "F", "F", "F", "F", "F", "F"],
  "fractional_positions": [[0.0000, 0.0000, 0.0000], [0.3333, 0.6667, 0.6604], [0.6667, 0.3333, 0.3396], [0.0000, 0.0000, 0.5000], [0.3333, 0.6667, 0.1640], [0.6667, 0.3333, 0.8360], [0.0000, 0.5000, 0.0000], [0.1782, 0.3564, 0.3145], [0.1782, 0.8218, 0.3145], [0.3564, 0.1782, 0.6855], [0.5000, 0.0000, 0.0000], [0.5000, 0.5000, 0.0000], [0.6436, 0.8218, 0.3145], [0.8218, 0.1782, 0.6855], [0.8218, 0.6436, 0.6855]]
}


no.,N(E_F) (states/eV per atom)
1,1.35
2,1.86
3,0.46
4,0.37